# 1
Material: CdReHg2
Method: DFT, PBE-GGA
State: optimized geometry

The value obtained for the size of the total moment is 0.00 μB/cell. The total energy comes out at -2.785 eV per atom. The calculation puts the formation enthalpy at 0 K at 273 kJ/mol of formula units.

The structure belongs to space group C2/m (No. 12); the cell edges are 9.982, 2.903 and 5.490 Å and the angles 90.00°, 100.10° and 90.00°. Symmetry generates all atoms from Cd at (0.000, 0.000, 0.000), Re at (0.000, 0.500, 0.500) and Hg at (0.243, 0.000, 0.737).


# 2
Material: Tb4HoHg2
Method: DFT, PBE-GGA
State: optimized geometry

The value obtained for the size of the total moment is 0.01 μB/cell. The total energy comes out at -3.350 eV per atom. The calculation puts the formation enthalpy at 0 K at 24 kJ/mol of formula units.

The structure belongs to space group R-3m (No. 166, hexagonal axes); the cell edges are 5.0961, 5.0961 and 30.1169 Å and the angles 90.00°, 90.00° and 120.00°. Symmetry generates all atoms from Tb at (0.0000, 0.0000, 0.1085), Tb at (0.0000, 0.0000, 0.2961), Ho at (0.0000, 0.0000, 0.5000) and Hg at (0.0000, 0.0000, 0.3993).


# 3
Material: Be2HgPd2
Method: DFT, PBE-GGA
State: optimized geometry

The value obtained for the size of the total moment is 0.00 μB/cell. The total energy comes out at -3.935 eV per atom. The calculation puts the formation enthalpy at 0 K at -148 kJ/mol of formula units. The distance to the lowest polymorph of the same formula is 0.000 eV/f.u.

The structure belongs to space group P4/mbm (No. 127); the cell edges are 6.763, 6.763 and 2.925 Å and the angles 90.00°, 90.00° and 90.00°. Symmetry generates all atoms from Be at (0.125, 0.375, 0.000), Hg at (0.000, 0.000, 0.000) and Pd at (0.158, 0.658, 0.500).


# 4
Material: MgAs2Au
Method: DFT, PBE-GGA
State: optimized geometry

The value obtained for the size of the total moment is 0.00 μB/cell. The total energy comes out at -3.606 eV per atom. The calculation puts the formation enthalpy at 0 K at -24 kJ/mol of formula units.

The structure belongs to space group R-3m (No. 166, hexagonal axes); the cell edges are 4.0117, 4.0117 and 17.6939 Å and the angles 90.00°, 90.00° and 120.00°. Symmetry generates all atoms from Mg at (0.0000, 0.0000, 0.0000), As at (0.0000, 0.0000, 0.2424) and Au at (0.0000, 0.0000, 0.5000).


# 5
Material: LiSc2SnN
Method: DFT, PBE-GGA
State: optimized geometry

The value obtained for the size of the total moment is 0.00 μB/cell. The total energy comes out at -6.435 eV per atom.

The structure belongs to space group P4/mmm (No. 123); the cell edges are 4.425, 4.425 and 4.259 Å and the angles 90.00°, 90.00° and 90.00°. Symmetry generates all atoms from Li at (0.000, 0.000, 0.000), Sc at (0.000, 0.500, 0.500), Sn at (0.500, 0.500, 0.000) and N at (0.000, 0.000, 0.500).


# 6
Material: USeCl
Method: DFT, PBE-GGA
State: optimized geometry

The value obtained for the size of the total moment is 6.00 μB/cell. The total energy comes out at -6.734 eV per atom.

The structure belongs to space group P-1 (No. 2); the cell edges are 5.570, 5.627 and 7.238 Å and the angles 112.77°, 111.84° and 90.02°. Symmetry generates all atoms from U at (0.117, 0.371, 0.243), Se at (0.119, 0.858, 0.218) and Cl at (0.356, 0.605, 0.708).


# 7
Material: PmY2PaS4
Method: DFT, PBE-GGA
State: optimized geometry

The value obtained for the size of the total moment is 0.00 μB/cell. The total energy comes out at -7.347 eV per atom.

The structure belongs to space group P2/m (No. 10); the cell edges are 6.811, 3.904 and 6.865 Å and the angles 90.00°, 108.96° and 90.00°. Symmetry generates all atoms from Pm at (0.000, 0.000, 0.000), Y at (0.000, 0.500, 0.500), Y at (0.500, 0.000, 0.500), Pa at (0.500, 0.500, 0.000), S at (0.252, 0.000, 0.746) and S at (0.257, 0.500, 0.257).


# 8
Material: ThV12Ge6
Method: DFT, PBE-GGA
State: optimized geometry

The value obtained for the size of the total moment is 0.00 μB/cell. The total energy comes out at -7.682 eV per atom. The calculation puts the formation enthalpy at 0 K at -137 kJ/mol of formula units.

The structure belongs to space group R-3m (No. 166, hexagonal axes); the cell edges are 11.0220, 11.0220 and 8.6126 Å and the angles 90.00°, 90.00° and 120.00°. Symmetry generates all atoms from Th at (0.0000, 0.0000, 0.0000), V at (0.0000, 0.3890, 0.5000), V at (0.0870, 0.1739, 0.3309) and Ge at (0.0217, 0.5108, 0.2514).


- Look up the total energy of the first one.
  -2.785 eV per atom


- size of the total moment of number 7 (PmY2PaS4)?
  0.00 μB/cell